# YCoAsSe2

YCoAsSe2 after structural relaxation (GGA-PBE, Alexandria).

Cell lengths 5.396, 5.396, 5.453 Å; angles 90.00, 90.00, 90.00 degrees
Atoms (fractional coordinates):
Y1 0.000 0.000 0.000
Co1 0.500 0.500 0.500
As1 0.000 0.000 0.500
Se1 0.000 0.500 0.000
Se2 0.500 0.000 0.000

formation energy without anion corrections = 2.71 eV/f.u.
ΔE to the lowest computed polymorph = 96.0 kJ/mol of atoms


# MgZr2Au

MgZr2Au after structural relaxation (GGA-PBE, Alexandria).

Cell lengths 3.245, 4.419, 6.088 Å; angles 90.00, 105.34, 90.00 degrees
Atoms (fractional coordinates):
Mg1 0.000 0.000 0.000
Zr1 0.261 0.000 0.522
Zr2 0.613 0.500 0.228
Au1 0.865 0.500 0.734

total energy = -0.4189 Ry/atom


# ScCoBr4

ScCoBr4 after structural relaxation (GGA-PBE, Alexandria).

Cell lengths 6.142, 6.142, 6.142 Å; angles 60.00, 60.00, 60.00 degrees
Atoms (fractional coordinates):
Sc1 0.000 0.000 0.000
Co1 0.250 0.250 0.250
Br1 0.126 0.625 0.625
Br2 0.625 0.126 0.625
Br3 0.625 0.625 0.126
Br4 0.625 0.625 0.625

formation energy without anion corrections = 4.63 eV/f.u.


# Dy2SiI

Dy2SiI after structural relaxation (GGA-PBE, Alexandria).

Cell lengths 7.805, 7.805, 7.805 Å; angles 31.30, 31.30, 31.30 degrees
Atoms (fractional coordinates):
Dy1 0.231 0.231 0.231
Dy2 0.769 0.769 0.769
Si1 0.500 0.500 0.500
I1 0.000 0.000 0.000

formation energy without anion corrections = -3.54 eV/f.u.
ΔE to the lowest computed polymorph = 0.0 kJ/mol of atoms


# AcTmPd3

AcTmPd3 after structural relaxation (GGA-PBE, Alexandria).

Cell lengths 13.657, 13.657, 4.415 Å; angles 90.00, 90.00, 163.48 degrees
Atoms (fractional coordinates):
Ac1 0.075 0.925 0.750
Ac2 0.925 0.075 0.250
Tm1 0.207 0.793 0.250
Tm2 0.793 0.207 0.750
Pd1 0.310 0.690 0.250
Pd2 0.371 0.629 0.750
Pd3 0.471 0.529 0.750
Pd4 0.529 0.471 0.250
Pd5 0.629 0.371 0.250
Pd6 0.690 0.310 0.750

total energy = -0.4182 Ry/atom


# Na2Zn4Au3

Na2Zn4Au3 after structural relaxation (GGA-PBE, Alexandria).

Cell lengths 8.357, 8.357, 7.807 Å; angles 90.00, 90.00, 140.75 degrees
Atoms (fractional coordinates):
Na1 0.097 0.903 0.889
Na2 0.403 0.597 0.389
Na3 0.597 0.403 0.611
Na4 0.903 0.097 0.111
Zn1 0.173 0.827 0.510
Zn2 0.179 0.321 0.750
Zn3 0.321 0.179 0.250
Zn4 0.327 0.673 0.010
Zn5 0.673 0.327 0.990
Zn6 0.679 0.821 0.750
Zn7 0.821 0.679 0.250
Zn8 0.827 0.173 0.490
Au1 0.000 0.000 0.500
Au2 0.008 0.492 0.750
Au3 0.492 0.008 0.250
Au4 0.500 0.500 0.000
Au5 0.508 0.992 0.750
Au6 0.992 0.508 0.250

total energy = -0.1615 Ry/atom


# KSN2O

KSN2O after structural relaxation (GGA-PBE, Alexandria).

Cell lengths 5.460, 5.460, 5.086 Å; angles 90.00, 90.00, 90.00 degrees
Atoms (fractional coordinates):
K1 0.000 0.000 0.000
S1 0.500 0.500 0.500
N1 0.000 0.500 0.000
N2 0.500 0.000 0.000
O1 0.000 0.000 0.500

formation energy without anion corrections = 12.53 eV/f.u.


# La3YBi

La3YBi after structural relaxation (GGA-PBE, Alexandria).

Cell lengths 6.129, 6.129, 6.129 Å; angles 90.00, 90.00, 90.00 degrees
Atoms (fractional coordinates):
La1 0.000 0.000 0.500
La2 0.000 0.500 0.000
La3 0.500 0.000 0.000
Y1 0.500 0.500 0.500
Bi1 0.000 0.000 0.000

ΔE to the lowest computed polymorph = 0.0 kJ/mol of atoms